The following is a PBE calculation of an optimized crystal structure of Ca2Sn5Pb, from Alexandria via LeMat-Bulk.

Calculated values
DOS(E_F) = 0.307 states/eV/atom
Formation energy = -0.37 eV/atom

a b c (Å): 6.7129 13.4746 4.8791
angles (deg): 90.00 90.00 90.00
Space group Pbam (No. 55)
Inequivalent atoms, fractional coordinates:
Ca  0.2485  0.1268  0.0000
Sn  0.0000  0.0000  0.5000
Sn  0.0018  0.7522  0.5000
Sn  0.2478  0.8743  0.0000
Pb  0.0000  0.5000  0.5000

=====

The following is a PBE calculation of an optimized crystal structure of Ca4Sn2Pb5, from Alexandria via LeMat-Bulk.

Calculated values
DOS(E_F) = 0.476 states/eV/atom
Formation energy = -0.37 eV/atom

a b c (Å): 9.8001 3.5641 10.6221
angles (deg): 90.00 114.04 90.00
Space group P2/m (No. 10)
Inequivalent atoms, fractional coordinates:
Ca  0.2002  0.0000  0.0140
Ca  0.2956  0.0000  0.5024
Sn  0.0634  0.5000  0.2232
Pb  0.0000  0.5000  0.5000
Pb  0.3051  0.5000  0.7974
Pb  0.4109  0.5000  0.2850

=====

The following is a PBE calculation of an optimized crystal structure of Ca6SnPb2, from Alexandria via LeMat-Bulk.

Calculated values
DOS(E_F) = 0.598 states/eV/atom
Formation energy = -0.46 eV/atom

a b c (Å): 10.6161 10.6441 5.3379
angles (deg): 90.00 90.00 90.00
Space group Pnnm (No. 58)
Inequivalent atoms, fractional coordinates:
Ca  0.0445  0.1972  0.0000
Ca  0.1146  0.6139  0.5000
Ca  0.1971  0.9544  0.5000
Sn  0.0000  0.5000  0.0000
Pb  0.2326  0.2661  0.5000

=====

- Among the records above, which one has the lowest formation energy?
  Ca6SnPb2